Record 1
Crystalline Cu15Pd2Au2 at its relaxed geometry. Source: Alexandria via LeMat-Bulk, functional PBE-GGA.

Cell lengths 6.4253, 6.4253, 6.4253 Å; angles 82.47, 82.47, 82.47 degrees
Last column: nearest neighbours and their distance in Å.
Positions (direct):
Cu 0.0000 0.0000 0.5000  8 Cu 2.48-2.49, 2 Au 2.54
Cu 0.0000 0.3165 0.6835  8 Cu 2.48-2.68
Cu 0.0000 0.5000 0.0000  8 Cu 2.48-2.49, 2 Au 2.54
Cu 0.0000 0.6835 0.3165  8 Cu 2.48-2.68
Cu 0.1674 0.6514 0.6514  8 Cu 2.38-2.59, 1 Au 2.65
Cu 0.3165 0.0000 0.6835  8 Cu 2.48-2.68
Cu 0.3165 0.6835 0.0000  8 Cu 2.48-2.68
Cu 0.3486 0.3486 0.8326  8 Cu 2.38-2.59, 1 Au 2.65
Cu 0.3486 0.8326 0.3486  8 Cu 2.38-2.59, 1 Au 2.65
Cu 0.5000 0.0000 0.0000  8 Cu 2.48-2.49, 2 Au 2.54
Cu 0.6514 0.1674 0.6514  8 Cu 2.38-2.59, 1 Au 2.65
Cu 0.6514 0.6514 0.1674  8 Cu 2.38-2.59, 1 Au 2.65
Cu 0.6835 0.0000 0.3165  8 Cu 2.48-2.68
Cu 0.6835 0.3165 0.0000  8 Cu 2.48-2.68
Cu 0.8326 0.3486 0.3486  8 Cu 2.38-2.59, 1 Au 2.65
Pd 0.3760 0.3760 0.3760  12 Cu 2.76-2.95
Pd 0.6240 0.6240 0.6240  12 Cu 2.76-2.95
Au 0.1109 0.1109 0.1109  6 Cu 2.54-2.65, 1 Au 2.77
Au 0.8891 0.8891 0.8891  6 Cu 2.54-2.65, 1 Au 2.77

## Properties
Formation energy from the elements, eV per atom: 0.08
D(E_F), states/eV per atom: 0.33



Record 2
Crystalline TaIrOs4 at its relaxed geometry. Source: Alexandria via LeMat-Bulk, functional PBE-GGA.

Cell lengths 5.1167, 5.1167, 5.1167 Å; angles 60.00, 60.00, 60.00 degrees
Last column: nearest neighbours and their distance in Å.
Positions (direct):
Ta 0.0000 0.0000 0.0000  12 Os 3.00, 4 Ir 3.13
Ir 0.7500 0.7500 0.7500  12 Os 3.00, 4 Ta 3.13
Os 0.3762 0.3762 0.3762  6 Os 2.53-2.58
Os 0.3762 0.3762 0.8715  6 Os 2.53-2.58
Os 0.3762 0.8715 0.3762  6 Os 2.53-2.58
Os 0.8715 0.3762 0.3762  6 Os 2.53-2.58

## Properties
Formation energy from the elements, eV per atom: 0.37
D(E_F), states/eV per atom: 1.75